Density functional theory data (PBE+U) for a geometry-optimized SnMoO2 structure.

Calculated values
Final energy (eV per atom): -5.9219

abc: 6.2921 6.2921 6.2921
angles: 128.83 128.83 75.28
Atoms (fractional coordinates):
Sn: 0.0000 0.0000 0.0000
Sn: 0.7500 0.2500 0.5000
Mo: 0.2500 0.7500 0.5000
Mo: 0.5000 0.5000 0.0000
O: 0.2249 0.6250 0.0999
O: 0.3750 0.4749 0.5999
O: 0.5251 0.1250 0.9001
O: 0.8750 0.7751 0.4001